Entry 1:
Computed, not measured: crystalline Hf5Sb4H at its relaxed geometry at the GGA-PBE level of DFT.

abc: 6.8711 6.8711 6.8711
angles: 100.10 100.10 130.48
Closest atoms and distances in Å follow each position.
Positions (direct):
1 Hf 0.0000 0.0000 0.0000  1 H 2.02
2 Hf 0.4034 0.7447 0.8486  1 H 2.33
3 Hf 0.5549 0.4034 0.6587  1 H 2.33
4 Hf 0.7447 0.8961 0.3413  1 H 2.33
5 Hf 0.8961 0.5549 0.1514  1 H 2.33
6 Sb 0.0721 0.8399 0.6134  6 Hf 2.93-3.04
7 Sb 0.2266 0.4587 0.3866  6 Hf 2.93-3.04
8 Sb 0.4587 0.0721 0.2321  6 Hf 2.93-3.04
9 Sb 0.8399 0.2266 0.7679  6 Hf 2.93-3.04
10 H 0.6499 0.6499 0.0000  1 Hf 2.02

Properties
Total magnetization: 0.0 μB per formula unit
Space-group type: I4, No. 79
E: -0.529 Ry/atom

Entry 2:
Computed, not measured: crystalline Hf5Sb2H at its relaxed geometry at the GGA-PBE level of DFT.

abc: 6.0781 6.0781 6.0781
angles: 117.27 117.27 94.80
Closest atoms and distances in Å follow each position.
Positions (direct):
1 Hf 0.0000 0.0000 0.0000  1 H 2.15
2 Hf 0.0002 0.0002 0.5028  1 H 2.25
3 Hf 0.0002 0.4973 0.0000  1 H 2.25
4 Hf 0.4973 0.0002 0.0000  1 H 2.25
5 Hf 0.4973 0.4973 0.4972  1 H 2.25
6 Sb 0.0000 0.5000 0.5000  10 Hf 3.03-3.16
7 Sb 0.5000 0.0000 0.5000  10 Hf 3.03-3.16
8 H 0.7386 0.7386 0.0000  5 Hf 2.15-2.25

Properties
Total magnetization: 0.0 μB per formula unit
Space-group type: I4mm, No. 107
E: -0.578 Ry/atom